Record 1
Below is crystalline Sr2PuMnSe5 at its relaxed geometry, with properties calculated at the PBE level. Values from VASP.

## Properties
mass density: 5.85 Mg/m³
formation energy from raw total energies: -1.41 eV/atom
D(E_F): 25.5 states/eV per cell
E: -6.33 eV per atom
size of the total moment: 0.0 μB/cell

Quantum ESPRESSO input file:
```
&SYSTEM
  ibrav = 0, nat = 18, ntyp = 4
/
ATOMIC_SPECIES
Pu 244.00 Pu.upf
Sr 87.62 Sr.upf
Se 78.96 Se.upf
Mn 54.94 Mn.upf
CELL_PARAMETERS angstrom
4.215 0.000 0.000
-2.108 9.126 0.000
0.000 0.000 12.835
ATOMIC_POSITIONS crystal
Pu 0.799 0.599 0.522
Sr 0.879 0.757 0.832
Se 0.297 0.594 0.670
Se 0.040 0.080 0.031
Sr 0.121 0.243 0.332
Mn 0.557 0.115 0.934
Se 0.309 0.619 0.369
Se 0.354 0.708 0.012
Se 0.703 0.406 0.170
Se 0.502 0.005 0.267
Mn 0.443 0.885 0.434
Se 0.960 0.920 0.531
Se 0.498 0.995 0.767
Pu 0.201 0.401 0.022
Sr 0.115 0.230 0.687
Sr 0.885 0.770 0.187
Se 0.646 0.292 0.512
Se 0.691 0.381 0.869
```

Record 2
Below is crystalline Pu2MnTl3Se6 at its relaxed geometry, with properties calculated at the PBE level. Values from VASP.

## Properties
mass density: 8.00 Mg/m³
formation energy from raw total energies: -0.87 eV/atom
D(E_F): 16.5 states/eV per cell
E: -6.36 eV per atom
size of the total moment: 14.0 μB/cell

Quantum ESPRESSO input file:
```
&SYSTEM
  ibrav = 0, nat = 12, ntyp = 4
/
ATOMIC_SPECIES
Tl 204.38 Tl.upf
Se 78.96 Se.upf
Mn 54.94 Mn.upf
Pu 244.00 Pu.upf
CELL_PARAMETERS angstrom
-6.252 -3.312 0.730
4.659 -2.257 -4.878
3.664 -2.908 6.581
ATOMIC_POSITIONS crystal
Tl 0.500 0.500 0.500
Se 0.384 0.066 0.197
Tl 0.172 0.828 0.500
Mn 0.000 0.000 0.000
Se 0.066 0.384 0.197
Pu 0.334 0.666 0.000
Se 0.934 0.616 0.803
Se 0.253 0.253 0.798
Se 0.747 0.747 0.202
Se 0.616 0.934 0.803
Pu 0.666 0.334 0.000
Tl 0.828 0.172 0.500
```

Record 3
Below is crystalline PuMnTl2Se4 at its relaxed geometry, with properties calculated at the PBE level. Values from VASP.

## Properties
mass density: 7.81 Mg/m³
formation energy from raw total energies: -0.70 eV/atom
D(E_F): 24.0 states/eV per cell
E: -5.97 eV per atom
size of the total moment: 8.8 μB/cell

Quantum ESPRESSO input file:
```
&SYSTEM
  ibrav = 0, nat = 16, ntyp = 4
/
ATOMIC_SPECIES
Se 78.96 Se.upf
Tl 204.38 Tl.upf
Pu 244.00 Pu.upf
Mn 54.94 Mn.upf
CELL_PARAMETERS angstrom
8.481 0.011 -0.137
0.005 8.528 -0.103
-4.269 -4.271 6.140
ATOMIC_POSITIONS crystal
Se 0.203 0.744 0.974
Se 0.797 0.256 0.026
Se 0.242 0.265 0.049
Se 0.758 0.735 0.542
Se 0.758 0.735 0.951
Se 0.755 0.298 0.526
Tl 0.500 0.000 0.000
Tl 0.500 0.500 0.000
Pu 0.000 0.500 0.000
Se 0.242 0.265 0.458
Pu 0.000 0.500 0.500
Tl 0.000 0.000 0.500
Tl 0.500 0.000 0.500
Se 0.245 0.702 0.474
Mn 0.500 0.500 0.500
Mn 0.000 0.000 0.000
```

Record 4
Below is crystalline PuMnTlSe3 at its relaxed geometry, with properties calculated at the PBE level. Values from VASP.

## Properties
mass density: 6.90 Mg/m³
formation energy from raw total energies: -0.86 eV/atom
D(E_F): 21.3 states/eV per cell
E: -6.91 eV per atom
size of the total moment: 0.0 μB/cell

Quantum ESPRESSO input file:
```
&SYSTEM
  ibrav = 0, nat = 12, ntyp = 4
/
ATOMIC_SPECIES
Tl 204.38 Tl.upf
Se 78.96 Se.upf
Pu 244.00 Pu.upf
Mn 54.94 Mn.upf
CELL_PARAMETERS angstrom
-0.184 -4.177 0.561
6.035 0.633 6.685
-8.741 0.947 4.182
ATOMIC_POSITIONS crystal
Tl 0.750 0.797 0.777
Se 0.250 0.541 0.845
Se 0.750 0.459 0.155
Pu 0.750 0.326 0.850
Se 0.750 0.887 0.130
Pu 0.250 0.674 0.150
Mn 0.750 0.915 0.392
Mn 0.250 0.085 0.608
Se 0.250 0.113 0.870
Se 0.250 0.795 0.465
Se 0.750 0.205 0.535
Tl 0.250 0.203 0.223
```

Record 5
Below is crystalline Pu3MnTl4Se8 at its relaxed geometry, with properties calculated at the PBE level. Values from VASP.

## Properties
mass density: 8.06 Mg/m³
formation energy from raw total energies: -0.93 eV/atom
D(E_F): 28.8 states/eV per cell
E: -6.52 eV per atom
size of the total moment: 19.0 μB/cell

Quantum ESPRESSO input file:
```
&SYSTEM
  ibrav = 0, nat = 16, ntyp = 4
/
ATOMIC_SPECIES
Tl 204.38 Tl.upf
Pu 244.00 Pu.upf
Se 78.96 Se.upf
Mn 54.94 Mn.upf
CELL_PARAMETERS angstrom
-8.217 -1.271 0.296
1.082 -7.968 -4.177
4.274 1.241 7.031
ATOMIC_POSITIONS crystal
Tl 0.500 0.000 0.000
Pu 0.000 0.500 0.500
Tl 0.500 0.000 0.500
Pu 0.500 0.500 0.000
Tl 0.000 0.000 0.500
Se 0.254 0.303 0.029
Mn 0.000 0.500 0.000
Se 0.746 0.697 0.971
Se 0.735 0.705 0.470
Se 0.774 0.303 0.029
Se 0.265 0.295 0.530
Tl 0.000 0.000 0.000
Se 0.226 0.697 0.451
Pu 0.500 0.500 0.500
Se 0.226 0.697 0.971
Se 0.774 0.303 0.549
```

Record 6
Below is crystalline TmPu2MnSe5 at its relaxed geometry, with properties calculated at the PBE level. Values from VASP.

## Properties
mass density: 8.60 Mg/m³
formation energy from raw total energies: -1.34 eV/atom
D(E_F): 49.4 states/eV per cell
E: -7.97 eV per atom
size of the total moment: 12.2 μB/cell

Quantum ESPRESSO input file:
```
&SYSTEM
  ibrav = 0, nat = 18, ntyp = 4
/
ATOMIC_SPECIES
Pu 244.00 Pu.upf
Se 78.96 Se.upf
Tm 168.93 Tm.upf
Mn 54.94 Mn.upf
CELL_PARAMETERS angstrom
-3.815 1.269 -0.197
-0.222 -7.712 -4.241
-2.478 -5.794 10.665
ATOMIC_POSITIONS crystal
Pu 0.888 0.777 0.847
Se 0.305 0.611 0.360
Se 0.303 0.606 0.686
Se 0.650 0.299 0.519
Se 0.350 0.701 0.019
Se 0.695 0.389 0.860
Se 0.021 0.042 0.023
Tm 0.812 0.625 0.528
Mn 0.444 0.888 0.421
Tm 0.188 0.375 0.028
Se 0.979 0.958 0.523
Se 0.504 0.009 0.246
Pu 0.112 0.223 0.347
Pu 0.880 0.760 0.193
Mn 0.556 0.112 0.921
Se 0.697 0.394 0.186
Se 0.496 0.991 0.746
Pu 0.120 0.240 0.693
```

Record 7
Below is crystalline PuMn2Si at its relaxed geometry, with properties calculated at the PBE level. Values from VASP.

## Properties
mass density: 10.88 Mg/m³
formation energy from raw total energies: -0.14 eV/atom
D(E_F): 5.5 states/eV per cell
E: -9.66 eV per atom
size of the total moment: 1.1 μB/cell

Quantum ESPRESSO input file:
```
&SYSTEM
  ibrav = 0, nat = 4, ntyp = 3
/
ATOMIC_SPECIES
Mn 54.94 Mn.upf
Si 28.09 Si.upf
Pu 244.00 Pu.upf
CELL_PARAMETERS angstrom
-0.889 -3.003 -1.505
2.041 -2.056 2.895
-3.393 -0.143 2.290
ATOMIC_POSITIONS crystal
Mn 0.000 0.500 0.000
Mn 0.000 0.000 0.500
Si 0.500 0.000 0.000
Pu 0.500 0.500 0.500
```

Record 8
Below is crystalline Pu3Mn6Si2 at its relaxed geometry, with properties calculated at the PBE level. Values from VASP.

## Properties
mass density: 10.95 Mg/m³
formation energy from raw total energies: -0.22 eV/atom
D(E_F): 32.4 states/eV per cell
E: -10.12 eV per atom
size of the total moment: 3.8 μB/cell

Quantum ESPRESSO input file:
```
&SYSTEM
  ibrav = 0, nat = 22, ntyp = 3
/
ATOMIC_SPECIES
Mn 54.94 Mn.upf
Si 28.09 Si.upf
Pu 244.00 Pu.upf
CELL_PARAMETERS angstrom
7.174 0.000 -2.536
-3.587 6.213 -2.536
0.000 0.000 7.609
ATOMIC_POSITIONS crystal
Mn 0.652 0.304 0.652
Mn 0.652 0.348 0.000
Mn 0.696 0.348 0.348
Mn 0.348 0.348 0.696
Mn 0.000 0.652 0.348
Si 0.000 0.500 0.000
Mn 0.348 0.696 0.348
Pu 0.729 0.000 0.729
Mn 0.652 0.000 0.348
Pu 0.271 0.271 0.000
Pu 0.000 0.729 0.729
Mn 0.348 0.000 0.652
Si 0.500 0.000 0.000
Mn 0.000 0.348 0.652
Si 0.000 0.000 0.500
Mn 0.652 0.652 0.304
Mn 0.348 0.652 0.000
Si 0.500 0.500 0.500
Pu 0.000 0.271 0.271
Pu 0.271 0.000 0.271
Pu 0.729 0.729 0.000
Mn 0.304 0.652 0.652
```

The highest D(E_F) belongs to which entry?
TmPu2MnSe5

The lowest formation energy from raw total energies belongs to which entry?
Sr2PuMnSe5

Among the records above, which one has the lowest E?
Pu3Mn6Si2